[1]
# CdI3N (GGA-PBE, relaxed)
data_CdI3N
_chemical_formula_sum 'Cd1 I3 N1'
_cell_length_a 5.937
_cell_length_b 5.937
_cell_length_c 5.937
_cell_angle_alpha 90.00
_cell_angle_beta 90.00
_cell_angle_gamma 90.00
_symmetry_space_group_name_H-M 'P 1'
_symmetry_Int_Tables_number 1
loop_
_symmetry_equiv_pos_as_xyz
'x,y,z'
loop_
_atom_site_label
_atom_site_type_symbol
_atom_site_fract_x
_atom_site_fract_y
_atom_site_fract_z
Cd1 Cd 0.000 0.000 0.000
I1 I 0.000 0.000 0.500
I2 I 0.000 0.500 0.000
I3 I 0.500 0.000 0.000
N1 N 0.500 0.500 0.500
# Crystal system   cubic
# Density   4.02 Mg/m³
# Energy above the most stable polymorph in this dataset   547 meV/atom
# VASP energy   -9.2 eV/cell

[2]
# Pr6NdSm3Tm2 (GGA-PBE, relaxed)
data_Pr6NdSm3Tm2
_chemical_formula_sum 'Pr6 Nd1 Sm3 Tm2'
_cell_length_a 6.342
_cell_length_b 6.342
_cell_length_c 12.030
_cell_angle_alpha 95.02
_cell_angle_beta 95.02
_cell_angle_gamma 119.98
_symmetry_space_group_name_H-M 'P 1'
_symmetry_Int_Tables_number 1
loop_
_symmetry_equiv_pos_as_xyz
'x,y,z'
loop_
_atom_site_label
_atom_site_type_symbol
_atom_site_fract_x
_atom_site_fract_y
_atom_site_fract_z
Pr1 Pr 0.082 0.417 0.752
Pr2 Pr 0.249 0.249 0.248
Pr3 Pr 0.417 0.082 0.752
Pr4 Pr 0.583 0.918 0.248
Pr5 Pr 0.751 0.751 0.752
Pr6 Pr 0.918 0.583 0.248
Nd1 Nd 0.500 0.500 0.000
Sm1 Sm 0.000 0.000 0.500
Sm2 Sm 0.333 0.667 0.500
Sm3 Sm 0.667 0.333 0.500
Tm1 Tm 0.167 0.833 0.000
Tm2 Tm 0.833 0.167 0.000
# Crystal system   monoclinic
# Density   7.16 Mg/m³
# VASP energy   -56.4 eV/cell

[3]
# MgIn4Ag7 (GGA-PBE, relaxed)
data_MgIn4Ag7
_chemical_formula_sum 'Mg1 In4 Ag7'
_cell_length_a 5.405
_cell_length_b 5.578
_cell_length_c 8.385
_cell_angle_alpha 92.08
_cell_angle_beta 99.12
_cell_angle_gamma 95.61
_symmetry_space_group_name_H-M 'P 1'
_symmetry_Int_Tables_number 1
loop_
_symmetry_equiv_pos_as_xyz
'x,y,z'
loop_
_atom_site_label
_atom_site_type_symbol
_atom_site_fract_x
_atom_site_fract_y
_atom_site_fract_z
Mg1 Mg 0.000 0.000 0.000
In1 In 0.140 0.396 0.664
In2 In 0.375 0.777 0.234
In3 In 0.625 0.223 0.766
In4 In 0.860 0.604 0.336
Ag1 Ag 0.000 0.500 0.000
Ag2 Ag 0.209 0.253 0.317
Ag3 Ag 0.259 0.893 0.562
Ag4 Ag 0.453 0.748 0.906
Ag5 Ag 0.547 0.252 0.094
Ag6 Ag 0.741 0.107 0.438
Ag7 Ag 0.791 0.747 0.683
# Crystal system   triclinic
# Density   8.29 Mg/m³
# Energy above the most stable polymorph in this dataset   0 meV/atom
# VASP energy   -32.6 eV/cell

[4]
# TiCuAsBr2 (GGA-PBE, relaxed)
data_TiCuAsBr2
_chemical_formula_sum 'Ti1 Cu1 As1 Br2'
_cell_length_a 4.967
_cell_length_b 4.967
_cell_length_c 5.165
_cell_angle_alpha 90.00
_cell_angle_beta 90.00
_cell_angle_gamma 90.00
_symmetry_space_group_name_H-M 'P 1'
_symmetry_Int_Tables_number 1
loop_
_symmetry_equiv_pos_as_xyz
'x,y,z'
loop_
_atom_site_label
_atom_site_type_symbol
_atom_site_fract_x
_atom_site_fract_y
_atom_site_fract_z
Ti1 Ti 0.000 0.000 0.000
Cu1 Cu 0.500 0.500 0.500
As1 As 0.000 0.000 0.500
Br1 Br 0.000 0.500 0.000
Br2 Br 0.500 0.000 0.000
# Crystal system   tetragonal
# Density   4.51 Mg/m³
# Energy above the most stable polymorph in this dataset   0 meV/atom
# VASP energy   -19.6 eV/cell

[5]
# KNa2HO2 (GGA-PBE, relaxed)
data_KNa2HO2
_chemical_formula_sum 'K1 Na2 H1 O2'
_cell_length_a 5.769
_cell_length_b 5.769
_cell_length_c 5.769
_cell_angle_alpha 139.73
_cell_angle_beta 139.73
_cell_angle_gamma 58.27
_symmetry_space_group_name_H-M 'P 1'
_symmetry_Int_Tables_number 1
loop_
_symmetry_equiv_pos_as_xyz
'x,y,z'
loop_
_atom_site_label
_atom_site_type_symbol
_atom_site_fract_x
_atom_site_fract_y
_atom_site_fract_z
K1 K 0.000 0.000 0.000
Na1 Na 0.250 0.750 0.500
Na2 Na 0.750 0.250 0.500
H1 H 0.500 0.500 0.000
O1 O 0.375 0.375 0.000
O2 O 0.625 0.625 0.000
# Crystal system   tetragonal
# Density   2.47 Mg/m³
# VASP energy   -24.3 eV/cell

[6]
# NdSmTlIr (GGA-PBE, relaxed)
data_NdSmTlIr
_chemical_formula_sum 'Nd1 Sm1 Tl1 Ir1'
_cell_length_a 5.233
_cell_length_b 5.233
_cell_length_c 5.233
_cell_angle_alpha 60.00
_cell_angle_beta 60.00
_cell_angle_gamma 60.00
_symmetry_space_group_name_H-M 'P 1'
_symmetry_Int_Tables_number 1
loop_
_symmetry_equiv_pos_as_xyz
'x,y,z'
loop_
_atom_site_label
_atom_site_type_symbol
_atom_site_fract_x
_atom_site_fract_y
_atom_site_fract_z
Nd1 Nd 0.000 0.000 0.000
Sm1 Sm 0.500 0.500 0.500
Tl1 Tl 0.250 0.250 0.250
Ir1 Ir 0.750 0.750 0.750
# Crystal system   cubic
# Density   11.33 Mg/m³
# VASP energy   -22.2 eV/cell

[7]
# ScTi5Sn3 (GGA-PBE, relaxed)
data_ScTi5Sn3
_chemical_formula_sum 'Sc2 Ti10 Sn6'
_cell_length_a 8.276
_cell_length_b 8.276
_cell_length_c 5.753
_cell_angle_alpha 90.00
_cell_angle_beta 90.00
_cell_angle_gamma 120.00
_symmetry_space_group_name_H-M 'P 1'
_symmetry_Int_Tables_number 1
loop_
_symmetry_equiv_pos_as_xyz
'x,y,z'
loop_
_atom_site_label
_atom_site_type_symbol
_atom_site_fract_x
_atom_site_fract_y
_atom_site_fract_z
Sc1 Sc 0.000 0.000 0.000
Sc2 Sc 0.000 0.000 0.500
Ti1 Ti 0.000 0.341 0.250
Ti2 Ti 0.000 0.659 0.750
Ti3 Ti 0.333 0.667 0.000
Ti4 Ti 0.333 0.667 0.500
Ti5 Ti 0.341 0.000 0.250
Ti6 Ti 0.341 0.341 0.750
Ti7 Ti 0.659 0.000 0.750
Ti8 Ti 0.659 0.659 0.250
Ti9 Ti 0.667 0.333 0.000
Ti10 Ti 0.667 0.333 0.500
Sn1 Sn 0.000 0.332 0.750
Sn2 Sn 0.000 0.668 0.250
Sn3 Sn 0.332 0.000 0.750
Sn4 Sn 0.332 0.332 0.250
Sn5 Sn 0.668 0.000 0.250
Sn6 Sn 0.668 0.668 0.750
# Crystal system   hexagonal
# Density   6.23 Mg/m³
# VASP energy   -121.7 eV/cell

[8]
# VFeB3 (GGA-PBE, relaxed)
data_VFeB3
_chemical_formula_sum 'V1 Fe1 B3'
_cell_length_a 3.891
_cell_length_b 3.891
_cell_length_c 3.891
_cell_angle_alpha 90.00
_cell_angle_beta 90.00
_cell_angle_gamma 90.00
_symmetry_space_group_name_H-M 'P 1'
_symmetry_Int_Tables_number 1
loop_
_symmetry_equiv_pos_as_xyz
'x,y,z'
loop_
_atom_site_label
_atom_site_type_symbol
_atom_site_fract_x
_atom_site_fract_y
_atom_site_fract_z
V1 V 0.000 0.000 0.000
Fe1 Fe 0.500 0.500 0.500
B1 B 0.000 0.000 0.500
B2 B 0.000 0.500 0.000
B3 B 0.500 0.000 0.000
# Crystal system   cubic
# Density   3.92 Mg/m³
# VASP energy   -30.8 eV/cell

[9]
# Ti3TcF (GGA-PBE, relaxed)
data_Ti3TcF
_chemical_formula_sum 'Ti3 Tc1 F1'
_cell_length_a 4.156
_cell_length_b 4.156
_cell_length_c 4.156
_cell_angle_alpha 90.00
_cell_angle_beta 90.00
_cell_angle_gamma 90.00
_symmetry_space_group_name_H-M 'P 1'
_symmetry_Int_Tables_number 1
loop_
_symmetry_equiv_pos_as_xyz
'x,y,z'
loop_
_atom_site_label
_atom_site_type_symbol
_atom_site_fract_x
_atom_site_fract_y
_atom_site_fract_z
Ti1 Ti 0.000 0.000 0.500
Ti2 Ti 0.000 0.500 0.000
Ti3 Ti 0.500 0.000 0.000
Tc1 Tc 0.500 0.500 0.500
F1 F 0.000 0.000 0.000
# Crystal system   cubic
# Density   6.03 Mg/m³
# Energy above the most stable polymorph in this dataset   0 meV/atom
# VASP energy   -38.6 eV/cell

[10]
# NaPm2Th (GGA-PBE, relaxed)
data_NaPm2Th
_chemical_formula_sum 'Na1 Pm2 Th1'
_cell_length_a 12.947
_cell_length_b 12.947
_cell_length_c 12.947
_cell_angle_alpha 15.93
_cell_angle_beta 15.93
_cell_angle_gamma 15.93
_symmetry_space_group_name_H-M 'P 1'
_symmetry_Int_Tables_number 1
loop_
_symmetry_equiv_pos_as_xyz
'x,y,z'
loop_
_atom_site_label
_atom_site_type_symbol
_atom_site_fract_x
_atom_site_fract_y
_atom_site_fract_z
Na1 Na 0.000 0.000 0.000
Pm1 Pm 0.093 0.093 0.093
Pm2 Pm 0.907 0.907 0.907
Th1 Th 0.500 0.500 0.500
# Crystal system   trigonal
# Density   6.35 Mg/m³
# Energy above the most stable polymorph in this dataset   51 meV/atom
# VASP energy   -17.7 eV/cell